Compound: Cr2HgOs
Source: Alexandria
Functional: PBE
Structure: optimized geometry

a b c (Å): 7.0076 7.0076 5.6382
angles (deg): 51.58 51.58 90.00
Fractional positions:
Cr 0.5745 0.1250 0.2500
Cr 0.1755 0.6250 0.2500
Cr 0.3750 0.4255 0.7500
Cr 0.8750 0.8245 0.7500
Os 0.5000 0.5000 0.0000
Os 0.2500 0.7500 0.5000
Hg 0.0000 0.0000 0.0000
Hg 0.7500 0.2500 0.5000

Calculated values
The density of states at the Fermi level comes out at 2.618 states/eV/f.u. The calculation puts the energy at -6.738 eV/atom.